# Mn2ReOsO

A relaxed structure of Mn2ReOsO (PBE with a Hubbard U, the Alexandria database).

Its total energy is -0.5190 Ry/atom. As for the total moment: 8.10 Bohr magnetons per cell. As for the density of states at the Fermi level: 3.443 states/eV per cell. As for the crystal system: tetragonal.

The structure belongs to space group P4/mmm (No. 123); the cell edges are 5.014, 5.014 and 4.662 Å and the angles 90.00°, 90.00° and 90.00°. Symmetry generates all atoms from Mn at (0.000, 0.500, 0.000), Re at (0.000, 0.000, 0.500), Os at (0.000, 0.000, 0.000) and O at (0.500, 0.500, 0.500).